First-principles (PBE+U) data for a relaxed K2AlMo3P8O28 crystal, as listed in the Alexandria database.

Geometry as POSCAR:
```
K2AlMo3P8O28
1.0
7.694 -0.010 0.033
-1.634 9.217 0.030
2.266 5.073 8.075
K Al Mo P O
2 1 3 8 28
Direct
0.000 0.250 0.250 K
0.000 0.750 0.750 K
0.500 0.750 0.750 Al
0.996 0.000 0.004 Mo
0.004 0.500 0.496 Mo
0.500 0.250 0.250 Mo
0.241 0.207 0.595 P
0.244 0.714 0.083 P
0.759 0.293 0.905 P
0.756 0.786 0.417 P
0.614 0.683 0.059 P
0.616 0.168 0.576 P
0.386 0.817 0.441 P
0.384 0.332 0.924 P
0.097 0.050 0.761 O
0.107 0.553 0.251 O
0.903 0.450 0.739 O
0.893 0.947 0.249 O
0.791 0.774 0.067 O
0.791 0.269 0.578 O
0.209 0.726 0.433 O
0.209 0.231 0.922 O
0.345 0.290 0.105 O
0.357 0.792 0.611 O
0.655 0.210 0.395 O
0.643 0.708 0.889 O
0.447 0.242 0.612 O
0.450 0.758 0.099 O
0.553 0.258 0.888 O
0.550 0.742 0.401 O
0.197 0.372 0.552 O
0.189 0.872 0.052 O
0.803 0.128 0.948 O
0.811 0.628 0.448 O
0.256 0.164 0.460 O
0.270 0.680 0.942 O
0.744 0.336 0.040 O
0.730 0.820 0.558 O
0.540 0.491 0.200 O
0.552 0.978 0.701 O
0.460 0.009 0.300 O
0.448 0.522 0.799 O
```

Values from the calculation:
SG   P-1
DOS at the Fermi energy   4.70 states/eV/f.u.
Volume   13.58 A^3/atom
Crystal system   triclinic
Uncorrected energy   -7.20 eV/atom
M_tot   7.0 μB/cell